# 1
Entry from Alexandria via LeMat-Bulk: crystalline Li2NpTeO6 at its relaxed geometry (PBE-GGA).

As for the uncorrected energy: -7.00 eV/atom. The size of the total moment comes out at 2.992 μB/cell. As for the calculated density: 6.31 g/cm³.

It has space group R3 (No. 146, hexagonal axes), with a = 5.4383 Å, b = 5.4383 Å, c = 14.6352 Å, α = 90.00°, β = 90.00° and γ = 120.00°. The inequivalent atoms are Li at (0.0000, 0.0000, 0.0000), Li at (0.0000, 0.0000, 0.4930), Np at (0.0000, 0.0000, 0.2115), Te at (0.0000, 0.0000, 0.7074), O at (0.0369, 0.6860, 0.2909) and O at (0.0403, 0.3692, 0.7924).



# 2
Entry from Alexandria via LeMat-Bulk: crystalline Li2NpTeO8 at its relaxed geometry (PBE-GGA).

As for the uncorrected energy: -6.53 eV/atom. The size of the total moment comes out at 1.411 μB/cell. As for the calculated density: 5.75 g/cm³.

It has space group I-4m2 (No. 119), with a = 6.326 Å, b = 6.326 Å, c = 7.303 Å, α = 90.00°, β = 90.00° and γ = 90.00°. The inequivalent atoms are Li at (0.000, 0.000, 0.000), Li at (0.000, 0.500, 0.250), Np at (0.000, 0.500, 0.750), Te at (0.000, 0.000, 0.500), O at (0.000, 0.200, 0.788) and O at (0.000, 0.294, 0.446).



E_form (uncorrected) / meV per atom: -2031, -1562